# 1
Ba2Cd12Ag3Bi | GGA-PBE | optimized geometry

Calculated values
formation enthalpy at 0 K: -0.056 eV/atom
space-group type: No. 166

```
Ba2Cd12Ag3Bi
1.0
11.741 2.686 1.905
8.134 8.883 1.905
8.134 4.735 7.754
Ba Cd Ag Bi
2 12 3 1
direct
0.640 0.640 0.640
0.360 0.360 0.360
0.412 0.412 0.811
0.888 0.888 0.427
0.427 0.888 0.888
0.811 0.412 0.412
0.888 0.427 0.888
0.412 0.811 0.412
0.588 0.588 0.189
0.112 0.112 0.573
0.573 0.112 0.112
0.189 0.588 0.588
0.112 0.573 0.112
0.588 0.189 0.588
0.500 0.000 0.000
0.000 0.500 0.000
0.000 0.000 0.500
0.000 0.000 0.000
```

=====

# 2
BaAg2BiCl8 | GGA-PBE | optimized geometry

Calculated values
space-group type: No. 82
energy relative to the elements, uncorrected: -1066.1 meV per atom

```
BaAg2BiCl8
1.0
-5.398 -4.356 -0.300
2.103 -2.175 -6.249
5.557 -1.790 6.350
Ba Ag Bi Cl
1 2 1 8
direct
0.750 0.250 0.500
0.500 0.500 0.000
0.250 0.750 0.500
0.000 0.000 0.000
0.748 0.854 0.134
0.386 0.279 0.134
0.626 0.688 0.668
0.042 0.979 0.668
0.021 0.374 0.332
0.312 0.958 0.332
0.146 0.614 0.866
0.721 0.252 0.866
```

=====

# 3
BaAgBiCl6 | GGA-PBE | optimized geometry

Calculated values
space-group type: No. 163
energy relative to the elements, uncorrected: -1338.5 meV per atom

```
BaAgBiCl6
1.0
7.416 0.000 0.000
-3.708 6.423 0.000
0.000 0.000 11.893
Ba Ag Bi Cl
2 2 2 12
direct
0.333 0.667 0.250
0.667 0.333 0.750
0.000 0.000 0.000
0.000 0.000 0.500
0.667 0.333 0.250
0.333 0.667 0.750
0.688 0.650 0.121
0.962 0.312 0.121
0.312 0.962 0.621
0.038 0.688 0.879
0.350 0.312 0.379
0.962 0.650 0.379
0.650 0.962 0.879
0.688 0.038 0.379
0.038 0.350 0.621
0.350 0.038 0.121
0.650 0.688 0.621
0.312 0.350 0.879
```

=====

# 4
Ba2DyAg3Bi4 | GGA-PBE | optimized geometry

Calculated values
formation enthalpy at 0 K: -0.504 eV/atom
space-group type: No. 115

```
Ba2DyAg3Bi4
1.0
5.043 0.000 0.000
0.000 5.043 0.000
0.000 0.000 12.542
Ba Dy Ag Bi
2 1 3 4
direct
0.500 0.000 0.227
0.000 0.500 0.773
0.500 0.500 0.500
0.000 0.000 0.500
0.500 0.000 0.872
0.000 0.500 0.128
0.500 0.500 0.000
0.000 0.000 0.000
0.500 0.000 0.642
0.000 0.500 0.358
```

=====

# 5
Ba2ErAg3Bi4 | GGA-PBE | optimized geometry

Calculated values
formation enthalpy at 0 K: -0.497 eV/atom
space-group type: No. 115

```
Ba2ErAg3Bi4
1.0
5.036 0.000 0.000
0.000 5.036 0.000
0.000 0.000 12.519
Ba Er Ag Bi
2 1 3 4
direct
0.500 0.000 0.228
0.000 0.500 0.772
0.500 0.500 0.500
0.000 0.000 0.500
0.500 0.000 0.872
0.000 0.500 0.128
0.500 0.500 0.000
0.000 0.000 0.000
0.500 0.000 0.641
0.000 0.500 0.359
```

=====

# 6
BaEuAgBi | GGA-PBE | optimized geometry

Calculated values
formation enthalpy at 0 K: -0.609 eV/atom
space-group type: No. 216

```
BaEuAgBi
1.0
-1.291 -5.599 -0.770
3.286 -4.097 2.455
-2.084 -3.128 4.414
Eu Bi Ag Ba
1 1 1 1
direct
0.750 0.750 0.750
0.000 0.000 0.000
0.500 0.500 0.500
0.250 0.250 0.250
```

=====

# 7
BaAg2BiF8 | GGA-PBE | optimized geometry

Calculated values
space-group type: No. 119
energy relative to the elements, uncorrected: -2199.0 meV per atom

```
BaAg2BiF8
1.0
-1.865 -4.580 -2.978
5.317 -0.799 -2.101
-0.447 -0.800 7.104
Ba Ag Bi F
1 2 1 8
direct
0.500 0.500 0.000
0.750 0.250 0.500
0.000 0.000 0.000
0.250 0.750 0.500
0.113 0.634 0.731
0.618 0.634 0.731
0.366 0.382 0.269
0.902 0.887 0.269
0.618 0.098 0.731
0.366 0.887 0.269
0.113 0.098 0.731
0.902 0.382 0.269
```

=====

# 8
Ba2Ag4GeBi3 | GGA-PBE | optimized geometry

Calculated values
formation enthalpy at 0 K: -0.354 eV/atom
space-group type: No. 115

```
Ba2Ag4GeBi3
1.0
4.885 0.000 0.000
0.000 4.885 0.000
0.000 0.000 12.006
Ba Ag Ge Bi
2 4 1 3
direct
0.500 0.000 0.247
0.000 0.500 0.753
0.500 0.500 0.000
0.000 0.000 0.000
0.500 0.000 0.626
0.000 0.500 0.374
0.500 0.500 0.500
0.000 0.000 0.500
0.500 0.000 0.864
0.000 0.500 0.136
```

=====

# 9
BaAgBiH | GGA-PBE | optimized geometry

Calculated values
space-group type: No. 156

```
BaAgBiH
1.0
4.904 0.000 0.000
-2.452 4.247 0.007
0.000 -0.008 5.003
Ba Ag Bi H
1 1 1 1
direct
0.572 0.144 0.319
0.239 0.477 0.887
0.905 0.811 0.788
0.239 0.477 0.246
```

=====

# 10
BaAgHgBi3 | GGA-PBE | optimized geometry

Calculated values
formation enthalpy at 0 K: -0.171 eV/atom
space-group type: No. 63

```
BaAgHgBi3
1.0
-0.946 1.789 6.668
-4.974 -4.826 0.589
8.885 -3.866 2.297
Ba Ag Hg Bi
2 2 2 6
direct
0.750 0.311 0.623
0.250 0.689 0.377
0.250 0.410 0.820
0.750 0.590 0.180
0.250 0.105 0.210
0.750 0.895 0.790
0.250 0.258 0.515
0.000 0.254 0.000
0.500 0.746 0.000
0.500 0.254 0.000
0.000 0.746 0.000
0.750 0.742 0.485
```

=====

# 11
Ba2AgHg3Bi4 | GGA-PBE | optimized geometry

Calculated values
formation enthalpy at 0 K: -0.337 eV/atom
space-group type: No. 115

```
Ba2AgHg3Bi4
1.0
-2.914 3.944 2.118
-4.443 -2.237 -1.946
-1.205 -6.192 9.872
Ba Ag Hg Bi
2 1 3 4
direct
0.500 0.000 0.258
0.000 0.500 0.742
0.500 0.500 0.500
0.000 0.000 0.500
0.500 0.000 0.867
0.000 0.500 0.133
0.500 0.500 0.000
0.000 0.000 0.000
0.500 0.000 0.621
0.000 0.500 0.379
```

=====

# 12
Ba2AgHg6Bi | GGA-PBE | optimized geometry

Calculated values
formation enthalpy at 0 K: -0.320 eV/atom
space-group type: No. 2

```
Ba2AgHg6Bi
1.0
-3.573 -1.348 -6.383
7.196 -0.173 -3.123
-1.864 -6.522 -5.115
Ba Ag Hg Bi
2 1 6 1
direct
0.202 0.783 0.542
0.798 0.217 0.458
0.500 0.500 0.000
0.490 0.849 0.894
0.724 0.546 0.162
0.135 0.299 0.606
0.510 0.151 0.106
0.276 0.454 0.838
0.865 0.701 0.394
0.000 0.000 0.000
```

=====

# 13
Ba2Ag4HgBi3 | GGA-PBE | optimized geometry

Calculated values
formation enthalpy at 0 K: -0.368 eV/atom
space-group type: No. 115

```
Ba2Ag4HgBi3
1.0
5.003 0.000 0.000
0.000 5.003 0.000
0.000 0.000 11.830
Ba Ag Hg Bi
2 4 1 3
direct
0.500 0.000 0.244
0.000 0.500 0.756
0.500 0.500 0.000
0.000 0.000 0.000
0.500 0.000 0.628
0.000 0.500 0.372
0.500 0.500 0.500
0.000 0.000 0.500
0.500 0.000 0.867
0.000 0.500 0.133
```

=====

# 14
Ba2AgHgBi | GGA-PBE | optimized geometry

Calculated values
formation enthalpy at 0 K: -0.209 eV/atom
space-group type: No. 123

```
Ba2AgHgBi
1.0
6.419 0.000 0.000
0.000 5.184 0.000
0.000 0.000 6.419
Ba Bi Ag Hg
2 1 1 1
direct
0.000 0.000 0.500
0.500 0.000 0.000
0.500 0.500 0.500
0.000 0.500 0.000
0.000 0.000 0.000
```

=====

# 15
BaAgHgBi | GGA-PBE | optimized geometry

Calculated values
formation enthalpy at 0 K: -0.376 eV/atom
space-group type: No. 216

```
BaAgHgBi
1.0
-4.960 2.272 -1.019
-3.685 -2.685 -3.164
-4.568 -2.166 2.291
Ba Bi Ag Hg
1 1 1 1
direct
0.750 0.750 0.750
0.250 0.250 0.250
0.500 0.500 0.500
0.000 0.000 0.000
```

=====

# 16
Ba6AgBi2I3 | GGA-PBE | optimized geometry

Calculated values
space-group type: No. 12
energy relative to the elements, uncorrected: -1107.1 meV per atom

```
Ba6AgBi2I3
1.0
-0.102 5.072 -0.129
-7.773 0.015 6.742
9.369 -2.191 6.206
Ba Ag Bi I
6 1 2 3
direct
0.342 0.907 0.683
0.673 0.566 0.347
0.658 0.093 0.317
0.001 0.232 0.003
0.999 0.768 0.997
0.327 0.434 0.653
0.500 0.000 0.000
0.837 0.673 0.675
0.163 0.327 0.325
0.500 0.500 0.000
0.829 0.168 0.659
0.171 0.832 0.341
```

=====

# 17
Ba4AgBiI2 | GGA-PBE | optimized geometry

Calculated values
space-group type: No. 10
energy relative to the elements, uncorrected: -1007.6 meV per atom

```
Ba4AgBiI2
1.0
-4.579 2.000 0.348
-2.096 -5.925 6.470
2.086 3.453 7.606
Ba Ag Bi I
4 1 1 2
direct
0.000 0.725 0.764
0.000 0.275 0.236
0.500 0.725 0.255
0.500 0.275 0.745
0.500 0.500 0.000
0.000 0.500 0.500
0.000 0.000 0.000
0.500 0.000 0.500
```

=====

# 18
Ba2InAg4Bi3 | GGA-PBE | optimized geometry

Calculated values
formation enthalpy at 0 K: -0.384 eV/atom
space-group type: No. 115

```
Ba2InAg4Bi3
1.0
-1.508 4.511 1.337
-3.004 -2.004 3.373
8.875 0.531 8.219
Ba In Ag Bi
2 1 4 3
direct
0.500 0.000 0.241
0.000 0.500 0.759
0.500 0.500 0.500
0.500 0.500 0.000
0.000 0.000 0.000
0.500 0.000 0.631
0.000 0.500 0.369
0.000 0.000 0.500
0.500 0.000 0.867
0.000 0.500 0.133
```

=====

# 19
Ba2In6AgBi | GGA-PBE | optimized geometry

Calculated values
formation enthalpy at 0 K: -0.202 eV/atom
space-group type: No. 166

```
Ba2In6AgBi
1.0
7.354 0.000 0.000
3.677 6.369 0.000
3.677 2.123 14.159
Ba In Ag Bi
4 12 2 2
direct
0.892 0.892 0.324
0.108 0.108 0.676
0.724 0.724 0.828
0.276 0.276 0.172
0.924 0.331 0.414
0.331 0.924 0.414
0.331 0.331 0.414
0.076 0.669 0.586
0.669 0.076 0.586
0.669 0.669 0.586
0.636 0.222 0.919
0.222 0.636 0.919
0.222 0.222 0.919
0.364 0.778 0.081
0.778 0.364 0.081
0.778 0.778 0.081
0.000 0.000 0.000
0.500 0.500 0.500
0.576 0.576 0.273
0.424 0.424 0.727
```

=====

# 20
BaInAgBi2 | GGA-PBE | optimized geometry

Calculated values
formation enthalpy at 0 K: -0.349 eV/atom
space-group type: No. 119

```
BaInAgBi2
1.0
-2.931 3.606 1.143
-1.995 -0.244 -4.343
-2.376 -6.402 4.087
Ba In Ag Bi
1 1 1 2
direct
0.000 0.000 0.000
0.250 0.750 0.500
0.750 0.250 0.500
0.617 0.617 0.235
0.383 0.383 0.765
```

=====

# 21
KBaAgBi | GGA-PBE | optimized geometry

Calculated values
formation enthalpy at 0 K: -0.362 eV/atom
space-group type: No. 216

```
KBaAgBi
1.0
5.915 0.000 0.000
2.958 5.123 0.000
2.958 1.708 4.830
K Bi Ag Ba
1 1 1 1
direct
0.000 0.000 0.000
0.250 0.250 0.250
0.750 0.750 0.750
0.500 0.500 0.500
```

=====

# 22
Ba2Li4AgBi3 | GGA-PBE | optimized geometry

Calculated values
formation enthalpy at 0 K: -0.615 eV/atom
space-group type: No. 115

```
Ba2Li4AgBi3
1.0
4.853 0.000 0.000
0.000 4.853 0.000
0.000 0.000 11.751
Ba Li Ag Bi
2 4 1 3
direct
0.500 0.000 0.244
0.000 0.500 0.756
0.500 0.500 0.000
0.000 0.000 0.000
0.500 0.000 0.623
0.000 0.500 0.377
0.500 0.500 0.500
0.000 0.000 0.500
0.500 0.000 0.863
0.000 0.500 0.137
```

=====

| no. | total energy (eV/atom) |
| --- | --- |
| 1 | -1.57 |
| 2 | -3.26 |
| 3 | -3.53 |
| 4 | -3.76 |
| 5 | -3.75 |
| 6 | -5.34 |
| 7 | -4.41 |
| 8 | -3.50 |
| 9 | -3.37 |
| 10 | -2.96 |
| 11 | -2.65 |
| 12 | -1.56 |
| 13 | -3.09 |
| 14 | -2.38 |
| 15 | -2.61 |
| 16 | -3.34 |
| 17 | -3.20 |
| 18 | -3.35 |
| 19 | -2.90 |
| 20 | -3.40 |
| 21 | -2.80 |
| 22 | -3.21 |